No. 1
Material: La7Dy2Er
Method: DFT, PBE
State: optimized geometry

Geometry as POSCAR:
```
La7Dy2Er
1.0
-1.963 1.639 -5.155
-2.199 -8.940 -2.005
-5.846 6.104 4.166
Dy La Er
2 7 1
direct
0.500 0.707 0.293 Dy
0.500 0.293 0.707 Dy
0.500 0.931 0.707 La
0.500 0.707 0.931 La
0.000 0.773 0.227 La
0.000 0.227 0.773 La
0.500 0.069 0.293 La
0.500 0.293 0.069 La
0.500 0.500 0.500 La
0.000 0.000 0.000 Er
```

## Properties
Final energy in eV/atom: -4.230
Space group: Cmmm
Formation energy from the elements in eV/atom: 0.596

=====

No. 2
Material: La2Dy6Er
Method: DFT, PBE
State: optimized geometry

Geometry as POSCAR:
```
La2Dy6Er
1.0
-4.412 -4.014 0.124
4.280 -4.578 4.449
-0.368 0.630 7.651
La Dy Er
2 6 1
direct
0.215 0.333 0.333 La
0.785 0.667 0.667 La
0.291 0.812 0.812 Dy
0.292 0.376 0.812 Dy
0.708 0.188 0.624 Dy
0.292 0.812 0.376 Dy
0.708 0.624 0.188 Dy
0.709 0.188 0.188 Dy
0.000 0.000 0.000 Er
```

## Properties
Final energy in eV/atom: -4.430
Space group: C2/m
Formation energy from the elements in eV/atom: 0.240

=====

No. 3
Material: La3Dy6Er
Method: DFT, PBE
State: optimized geometry

Geometry as POSCAR:
```
La3Dy6Er
1.0
-6.155 4.220 6.555
1.092 -1.796 9.708
0.716 3.857 5.715
La Dy Er
3 6 1
direct
0.350 0.350 0.950 La
0.102 0.102 0.693 La
0.598 0.598 0.207 La
0.095 0.427 0.702 Dy
0.776 0.095 0.702 Dy
0.924 0.605 0.199 Dy
0.272 0.924 0.199 Dy
0.605 0.272 0.199 Dy
0.427 0.776 0.702 Dy
0.850 0.850 0.450 Er
```

## Properties
Final energy in eV/atom: -4.417
Space group: R-3
Formation energy from the elements in eV/atom: 0.279